The following is a DFT calculation (PBE) of a relaxed structure of ZnCuSbI2.

Output
Crystal system   tetragonal
Formation energy from raw total energies   416 meV/atom
Offset from the most stable computed form   0.00 eV/f.u.

Lattice parameters (Å, degrees): 5.5720 5.5720 5.0248 90.00 90.00 90.00
Positions (direct):
Zn: 0.0000 0.0000 0.0000
Cu: 0.5000 0.5000 0.5000
Sb: 0.5000 0.5000 0.0000
I: 0.0000 0.5000 0.5000
I: 0.5000 0.0000 0.5000

The following is a DFT calculation (PBE) of a relaxed structure of NdSm3Tm2As6.

Output
Crystal system   monoclinic
Energy relative to the elements   -1.507 eV per atom

Lattice parameters (Å, degrees): 7.2333 7.2333 7.2320 99.60 99.60 119.99
Positions (direct):
Nd: 0.0000 0.0000 0.0000
Sm: 0.1650 0.8350 0.5000
Sm: 0.5000 0.5000 0.5000
Sm: 0.8350 0.1650 0.5000
Tm: 0.3328 0.6672 0.0000
Tm: 0.6672 0.3328 0.0000
As: 0.0818 0.4220 0.2452
As: 0.2590 0.2590 0.7561
As: 0.4220 0.0818 0.2452
As: 0.5780 0.9182 0.7548
As: 0.7410 0.7410 0.2439
As: 0.9182 0.5780 0.7548

The following is a DFT calculation (PBE) of a relaxed structure of Ti2BiI.

Output
Crystal system   tetragonal
Formation energy from raw total energies   414 meV/atom
Offset from the most stable computed form   1.32 eV/f.u.

Lattice parameters (Å, degrees): 7.9115 7.9115 7.9115 131.42 131.42 71.14
Positions (direct):
Ti: 0.1243 0.6250 0.9993
Ti: 0.3750 0.3743 0.4993
Ti: 0.6257 0.1250 0.0007
Ti: 0.8750 0.8757 0.5007
Bi: 0.0000 0.0000 0.0000
Bi: 0.7500 0.2500 0.5000
I: 0.2500 0.7500 0.5000
I: 0.5000 0.5000 0.0000